one.
Entry from Alexandria: crystalline Ac2CeTl at its relaxed geometry (PBE).

a b c (Å): 3.905 3.905 9.654
angles (deg): 90.00 90.00 90.00
Space group P4/mmm (No. 123)
Inequivalent atoms, fractional coordinates:
Ac  0.000  0.000  0.234 x2
Ce  0.500  0.500  0.500 x1
Tl  0.500  0.500  0.000 x1

Output
The value obtained for the total magnetization is 0.24 μB per atom. As for the density of states at the Fermi level: 1.939 states/eV/atom.


two.
Entry from Alexandria: crystalline Ac2CeTl at its relaxed geometry (PBE).

a b c (Å): 8.307 8.307 8.307
angles (deg): 90.00 90.00 90.00
Space group Fm-3m (No. 225)
Inequivalent atoms, fractional coordinates:
Ac  0.250  0.250  0.250 x8
Ce  0.000  0.000  0.000 x4
Tl  0.000  0.000  0.500 x4

Output
The value obtained for the total magnetization is 0.30 μB per atom. As for the density of states at the Fermi level: 2.607 states/eV/atom.


three.
Entry from Alexandria: crystalline Ac2CeTl at its relaxed geometry (PBE).

a b c (Å): 3.8959 3.8959 34.6617
angles (deg): 90.00 90.00 120.00
Space group R3m (No. 160, hexagonal axes)
Inequivalent atoms, fractional coordinates:
Ac  0.0000  0.0000  0.0000 x3
Ac  0.0000  0.0000  0.1748 x3
Ce  0.0000  0.0000  0.7545 x3
Tl  0.0000  0.0000  0.5871 x3

Output
The value obtained for the total magnetization is 0.42 μB per atom. As for the density of states at the Fermi level: 2.039 states/eV/atom.


one (70 meV per atom below the next structure)


one.
Entry from Alexandria: crystalline AcCeTl4 at its relaxed geometry (PBE).

a b c (Å): 9.026 9.026 9.026
angles (deg): 90.00 90.00 90.00
Space group F-43m (No. 216)
Inequivalent atoms, fractional coordinates:
Ac  0.000  0.000  0.000 x4
Ce  0.250  0.250  0.750 x4
Tl  0.125  0.125  0.375 x16

Output
The value obtained for the total magnetization is 0.26 μB per atom. As for the density of states at the Fermi level: 1.855 states/eV/atom.


two.
Entry from Alexandria: crystalline AcCeTl4 at its relaxed geometry (PBE).

a b c (Å): 9.589 6.003 7.707
angles (deg): 90.00 113.73 90.00
Space group C2/m (No. 12)
Inequivalent atoms, fractional coordinates:
Ac  0.000  0.000  0.000 x2
Ce  0.000  0.000  0.500 x2
Tl  0.182  0.500  0.575 x4
Tl  0.186  0.500  0.109 x4

Output
The value obtained for the total magnetization is 0.18 μB per atom. As for the density of states at the Fermi level: 1.513 states/eV/atom.


one (85 meV per atom below the next structure)


one.
Entry from Alexandria: crystalline Ac5CeTl4 at its relaxed geometry (PBE).

a b c (Å): 19.115 4.083 9.785
angles (deg): 90.00 96.79 90.00
Space group C2/m (No. 12)
Inequivalent atoms, fractional coordinates:
Ac  0.000  0.000  0.000 x2
Ac  0.136  0.500  0.712 x4
Ac  0.197  0.500  0.121 x4
Ce  0.000  0.000  0.500 x2
Tl  0.052  0.500  0.282 x4
Tl  0.184  0.000  0.428 x4

Output
The value obtained for the total magnetization is 0.10 μB per atom. As for the density of states at the Fermi level: 1.635 states/eV/atom.


two.
Entry from Alexandria: crystalline Ac5CeTl4 at its relaxed geometry (PBE).

a b c (Å): 3.909 3.909 23.416
angles (deg): 90.00 90.00 90.00
Space group P4/mmm (No. 123)
Inequivalent atoms, fractional coordinates:
Ac  0.000  0.000  0.000 x1
Ac  0.000  0.000  0.197 x2
Ac  0.000  0.000  0.391 x2
Ce  0.500  0.500  0.500 x1
Tl  0.500  0.500  0.099 x2
Tl  0.500  0.500  0.295 x2

Output
The value obtained for the total magnetization is 0.09 μB per atom. As for the density of states at the Fermi level: 1.401 states/eV/atom.


two (134 meV per atom below the next structure)


one.
Entry from Alexandria: crystalline Ac3CeTl4 at its relaxed geometry (PBE).

a b c (Å): 3.959 7.575 19.706
angles (deg): 90.00 90.00 90.00
Space group Immm (No. 71)
Inequivalent atoms, fractional coordinates:
Ac  0.000  0.000  0.000 x2
Ac  0.000  0.500  0.216 x4
Ce  0.000  0.000  0.500 x2
Tl  0.000  0.287  0.376 x8

Output
The value obtained for the total magnetization is 0.23 μB per atom. As for the density of states at the Fermi level: 1.695 states/eV/atom.


two.
Entry from Alexandria: crystalline Ac3CeTl4 at its relaxed geometry (PBE).

a b c (Å): 4.058 4.058 16.494
angles (deg): 90.00 90.00 90.00
Space group P4/mmm (No. 123)
Inequivalent atoms, fractional coordinates:
Ac  0.000  0.000  0.000 x1
Ac  0.000  0.000  0.259 x2
Ce  0.000  0.000  0.500 x1
Tl  0.500  0.500  0.131 x2
Tl  0.500  0.500  0.389 x2

Output
The value obtained for the total magnetization is 0.15 μB per atom. As for the density of states at the Fermi level: 1.868 states/eV/atom.


two (126 meV per atom below the next structure)